A plane-wave DFT calculation with PBE was carried out for Hf2Bi2Pt after structural relaxation.

Summary:
* energy of formation: -128 meV per atom
* magnetization: 0.00 Bohr magnetons per cell
* density of states at the Fermi level: 0.61 states/eV/atom

Cell lengths 7.2612, 7.2612, 4.5388 Å; angles 90.00, 90.00, 90.00 degrees
Fractional positions:
Hf: 0.3491 0.8491 0.0000
Hf: 0.8491 0.6509 0.0000
Hf: 0.6509 0.1509 0.0000
Hf: 0.1509 0.3491 0.0000
Bi: 0.1637 0.6637 0.5000
Bi: 0.6637 0.8363 0.5000
Bi: 0.8363 0.3363 0.5000
Bi: 0.3363 0.1637 0.5000
Pt: 0.0000 0.0000 0.0000
Pt: 0.5000 0.5000 0.0000